Record 1
Sr3Th3NpN8 | PBE-GGA | relaxed

Calculated values
For the uncorrected formation energy, the calculation gives -19.0 eV/f.u. As for the symmetry: R-3m. The calculation puts the density at 7.725 Mg/m³.

Lattice parameters (Å, degrees): 7.3205 7.3204 7.3870 119.70 90.00 120.00
Last column: nearest neighbours and their distance in Å.
Fractional positions:
1 Sr 0.0000 0.0000 0.0000  6 N 2.74-2.78
2 Sr 0.0000 0.5000 0.0000  6 N 2.74-2.78
3 Sr 0.5000 0.5000 0.0000  6 N 2.74-2.78
4 Th 0.5000 0.0000 0.5000  6 N 2.47-2.50
5 Th 0.5000 0.5000 0.5000  6 N 2.47-2.50
6 Th 0.0000 0.5000 0.5000  6 N 2.47-2.50
7 Np 0.0000 0.0000 0.5000  6 N 2.20
8 N 0.2628 0.5255 0.2883  3 Th 2.47, 3 Sr 2.74
9 N 0.7372 0.4745 0.7117  3 Th 2.47, 3 Sr 2.74
10 N 0.7893 0.5785 0.3156  1 Np 2.20
11 N 0.2107 0.4215 0.6844  1 Np 2.20
12 N 0.7892 0.0265 0.3157  1 Np 2.20
13 N 0.2108 0.9735 0.6843  1 Np 2.20
14 N 0.2373 0.0265 0.3157  1 Np 2.20
15 N 0.7627 0.9735 0.6843  1 Np 2.20



Record 2
SrTh2NpN4 | PBE-GGA | relaxed

Calculated values
For the uncorrected formation energy, the calculation gives -9.6 eV/f.u. As for the symmetry: I-4m2. The calculation puts the density at 10.364 Mg/m³.

Lattice parameters (Å, degrees): 5.1348 5.1348 6.2874 114.10 114.10 90.00
Last column: nearest neighbours and their distance in Å.
Fractional positions:
1 Sr 0.5000 0.5000 0.0000  6 N 2.57-2.67
2 Th 0.2500 0.7500 0.5000  6 N 2.57-2.69
3 Th 0.0000 0.0000 0.0000  6 N 2.47-2.57
4 Np 0.7500 0.2500 0.5000  6 N 2.44-2.57
5 N 0.9881 0.4881 0.9763  1 Np 2.44, 2 Sr 2.57, 3 Th 2.57-2.69
6 N 0.5119 0.0119 0.0237  1 Np 2.44, 3 Th 2.57-2.69, 2 Sr 2.57
7 N 0.7598 0.7598 0.5195  3 Th 2.47-2.57, 2 Np 2.57, 1 Sr 2.67
8 N 0.2402 0.2402 0.4805  3 Th 2.47-2.57, 2 Np 2.57, 1 Sr 2.67



Record 3
Sr4Np3TiN8 | PBE-GGA | relaxed

Calculated values
For the uncorrected formation energy, the calculation gives -16.5 eV/f.u. As for the symmetry: R-3m. The calculation puts the density at 8.197 Mg/m³.

Lattice parameters (Å, degrees): 6.9434 7.1547 6.9437 119.04 120.00 90.00
Last column: nearest neighbours and their distance in Å.
Fractional positions:
1 Sr 0.5000 0.0000 0.0000  6 N 2.74
2 Sr 0.5000 0.0000 0.5000  6 N 2.69-2.70
3 Sr 0.0000 0.0000 0.0000  6 N 2.69-2.70
4 Sr 0.0000 0.0000 0.5000  6 N 2.69-2.70
5 Np 0.5000 0.5000 0.0000  6 N 2.32
6 Np 0.5000 0.5000 0.5000  6 N 2.32
7 Np 0.0000 0.5000 0.5000  6 N 2.32
8 Ti 0.0000 0.5000 0.0000  6 N 2.28
9 N 0.2279 0.6924 0.9646  1 Ti 2.28, 2 Np 2.32
10 N 0.2279 0.6925 0.4558  1 Ti 2.28, 2 Np 2.32
11 N 0.2676 0.3030 0.5352  3 Np 2.32
12 N 0.7368 0.6924 0.9646  1 Ti 2.28, 2 Np 2.32
13 N 0.2632 0.3076 0.0354  1 Ti 2.28, 2 Np 2.32
14 N 0.7324 0.6970 0.4648  3 Np 2.32
15 N 0.7721 0.3075 0.5442  1 Ti 2.28, 2 Np 2.32
16 N 0.7721 0.3076 0.0354  1 Ti 2.28, 2 Np 2.32



Record 4
Sr2TmNpN4 | PBE-GGA | relaxed

Calculated values
For the uncorrected formation energy, the calculation gives -9.5 eV/f.u. As for the symmetry: P2/m. The calculation puts the density at 8.248 Mg/m³.

Lattice parameters (Å, degrees): 3.5634 6.0231 6.2902 108.16 90.00 90.00
Last column: nearest neighbours and their distance in Å.
Fractional positions:
1 Sr 0.5000 0.0000 0.5000  6 N 2.64-2.68
2 Sr 0.0000 0.5000 0.5000  6 N 2.73-2.81
3 Tm 0.5000 0.5000 0.0000  6 N 2.38-2.43
4 Np 0.0000 0.0000 0.0000  6 N 2.19-2.36
5 N 0.5000 0.2270 0.2033  2 Np 2.36, 1 Tm 2.38, 1 Sr 2.64
6 N 0.5000 0.7730 0.7967  2 Np 2.36, 1 Tm 2.38, 1 Sr 2.64
7 N 0.0000 0.2418 0.8032  1 Np 2.19, 2 Tm 2.43
8 N 0.0000 0.7582 0.1968  1 Np 2.19, 2 Tm 2.43



Record 5
Sr4Np3UN8 | PBE-GGA | relaxed

Calculated values
For the uncorrected formation energy, the calculation gives -17.0 eV/f.u. As for the symmetry: R-3m. The calculation puts the density at 8.934 Mg/m³.

Lattice parameters (Å, degrees): 7.1287 7.2448 7.1289 119.48 120.00 90.00
Last column: nearest neighbours and their distance in Å.
Fractional positions:
1 Sr 0.5000 0.0000 0.0000  6 N 2.78
2 Sr 0.5000 0.0000 0.5000  6 N 2.74-2.76
3 Sr 0.0000 0.0000 0.0000  6 N 2.74-2.76
4 Sr 0.0000 0.0000 0.5000  6 N 2.74-2.76
5 Np 0.5000 0.5000 0.0000  6 N 2.35-2.38
6 Np 0.5000 0.5000 0.5000  6 N 2.35-2.38
7 Np 0.0000 0.5000 0.5000  6 N 2.35-2.38
8 U 0.0000 0.5000 0.0000  6 N 2.32
9 N 0.2278 0.6936 0.9658  1 U 2.32, 2 Np 2.38
10 N 0.2278 0.6936 0.4555  1 U 2.32, 2 Np 2.38
11 N 0.2696 0.3089 0.5393  3 Np 2.35
12 N 0.7380 0.6936 0.9658  1 U 2.32, 2 Np 2.38
13 N 0.2620 0.3064 0.0342  1 U 2.32, 2 Np 2.38
14 N 0.7304 0.6911 0.4607  3 Np 2.35
15 N 0.7722 0.3064 0.5445  1 U 2.32, 2 Np 2.38
16 N 0.7722 0.3064 0.0342  1 U 2.32, 2 Np 2.38



Record 6
Sr2NpUN6 | PBE-GGA | relaxed

Calculated values
For the uncorrected formation energy, the calculation gives -10.1 eV/f.u. As for the symmetry: P2_1/c. The calculation puts the density at 8.024 Mg/m³.

Lattice parameters (Å, degrees): 5.9959 5.9822 8.4732 90.00 89.93 90.00
Last column: nearest neighbours and their distance in Å.
Fractional positions:
1 Sr 0.0022 0.9935 0.2501  9 N 2.78-3.06
2 Sr 0.5022 0.5065 0.7501  9 N 2.78-3.06
3 Sr 0.9978 0.0065 0.7499  9 N 2.78-3.06
4 Sr 0.4978 0.4935 0.2499  9 N 2.78-3.06
5 Np 0.5000 0.0000 0.5000  6 N 2.08-2.11
6 Np 0.0000 0.5000 0.0000  6 N 2.08-2.11
7 U 0.5000 0.0000 0.0000  6 N 2.15-2.18
8 U 0.0000 0.5000 0.5000  6 N 2.15-2.18
9 N 0.2617 0.7341 0.0207  1 Np 2.11, 1 U 2.15
10 N 0.7617 0.7659 0.5207  1 Np 2.11, 1 U 2.15
11 N 0.7383 0.2659 0.9793  1 Np 2.11, 1 U 2.15
12 N 0.2383 0.2341 0.4793  1 Np 2.11, 1 U 2.15
13 N 0.2660 0.7383 0.4791  1 Np 2.11, 1 U 2.15
14 N 0.7660 0.7617 0.9791  1 Np 2.11, 1 U 2.15
15 N 0.7340 0.2617 0.5209  1 Np 2.11, 1 U 2.15
16 N 0.2340 0.2383 0.0209  1 Np 2.11, 1 U 2.15
17 N 0.9618 0.5032 0.2439  1 Np 2.08, 1 U 2.18
18 N 0.4618 0.9968 0.7439  1 Np 2.08, 1 U 2.18
19 N 0.0382 0.4968 0.7561  1 Np 2.08, 1 U 2.18
20 N 0.5382 0.0032 0.2561  1 Np 2.08, 1 U 2.18



Record 7
Sr2NpUN4 | PBE-GGA | relaxed

Calculated values
For the uncorrected formation energy, the calculation gives -8.8 eV/f.u. As for the symmetry: P2/m. The calculation puts the density at 8.914 Mg/m³.

Lattice parameters (Å, degrees): 3.5649 6.1792 6.3279 109.28 90.00 90.00
Last column: nearest neighbours and their distance in Å.
Fractional positions:
1 Sr 0.5000 0.0000 0.5000  6 N 2.77-2.80
2 Sr 0.0000 0.5000 0.5000  6 N 2.72-2.74
3 Np 0.0000 0.0000 0.0000  6 N 2.37-2.42
4 U 0.5000 0.5000 0.0000  6 N 2.32-2.33
5 N 0.5000 0.2379 0.1918  1 U 2.32, 2 Np 2.37
6 N 0.5000 0.7621 0.8082  1 U 2.32, 2 Np 2.37
7 N 0.0000 0.2781 0.8063  2 U 2.33, 1 Np 2.42
8 N 0.0000 0.7219 0.1937  2 U 2.33, 1 Np 2.42



Record 8
SrNp2VN4 | PBE-GGA | relaxed

Calculated values
For the uncorrected formation energy, the calculation gives -8.1 eV/f.u. As for the symmetry: Cmcm. The calculation puts the density at 9.175 Mg/m³.

Lattice parameters (Å, degrees): 3.4508 6.1749 11.8284 90.00 90.00 106.23
Last column: nearest neighbours and their distance in Å.
Fractional positions:
1 Sr 0.0933 0.1865 0.7500  6 N 2.77-2.92
2 Sr 0.9067 0.8135 0.2500  6 N 2.77-2.92
3 Np 0.3693 0.7386 0.5439  6 N 2.31-2.49
4 Np 0.6307 0.2614 0.0439  6 N 2.31-2.49
5 Np 0.6307 0.2614 0.4561  6 N 2.31-2.49
6 Np 0.3693 0.7386 0.9561  6 N 2.31-2.49
7 V 0.8276 0.6553 0.7500  4 N 1.88-1.99
8 V 0.1724 0.3447 0.2500  4 N 1.88-1.99
9 N 0.2588 0.5177 0.1172  1 V 1.88
10 N 0.7412 0.4823 0.6172  1 V 1.88
11 N 0.7412 0.4823 0.8828  1 V 1.88
12 N 0.2588 0.5177 0.3828  1 V 1.88
13 N 0.0000 0.0000 0.5000  4 Np 2.38
14 N 0.0000 0.0000 0.0000  4 Np 2.38
15 N 0.4107 0.8214 0.7500  2 V 1.99
16 N 0.5893 0.1786 0.2500  2 V 1.99